[1]
PBE Sr5Ca6Sm, relaxed; DFT formation energy = 0.06 eV per atom; symmetry = Immm (71)
1.0
5.566 0.020 -1.624
-1.503 9.689 -5.048
0.075 -0.732 10.621
Sr Ca Sm
5 6 1
Direct
0.664 0.664 0.329
0.336 0.336 0.671
0.334 0.834 0.669
0.000 0.500 0.000
0.666 0.166 0.331
0.500 0.236 0.000
0.162 0.404 0.324
0.162 0.920 0.324
0.838 0.080 0.676
0.500 0.764 0.000
0.838 0.596 0.676
0.000 0.000 0.000



[2]
PBE K2TmSnSe5, relaxed; symmetry = Cmc2_1 (36)
1.0
-2.623 2.828 -0.942
-4.542 -4.297 8.118
6.945 9.392 8.857
Se Tm Sn K
10 2 2 4
Direct
0.342 0.684 0.006
0.313 0.627 0.386
0.698 0.397 0.159
0.950 0.900 0.537
0.687 0.373 0.886
0.501 0.001 0.274
0.658 0.316 0.506
0.499 0.999 0.774
0.050 0.100 0.037
0.302 0.603 0.659
0.207 0.415 0.032
0.793 0.585 0.532
0.439 0.878 0.421
0.561 0.122 0.921
0.869 0.737 0.188
0.864 0.728 0.820
0.136 0.272 0.320
0.131 0.263 0.688



[3]
PBE LiCrCl2, relaxed; energy relative to the lowest polymorph listed for this composition = 0.2319 eV per atom; symmetry = Pmmm (47)
1.0
-2.410 2.718 -0.208
-1.118 -0.440 7.189
2.603 2.350 0.549
Cl Cr Li
2 1 1
Direct
0.500 0.500 0.000
0.000 0.000 0.000
0.500 0.000 0.500
0.000 0.500 0.500



[4]
PBE SrThNi2H8, relaxed; symmetry = R-3m (166)
1.0
4.623 0.000 0.000
2.312 4.004 0.000
2.312 1.335 6.687
Ni H Sr Th
2 8 1 1
Direct
0.234 0.234 0.298
0.766 0.766 0.702
0.447 0.446 0.198
0.846 0.846 0.463
0.154 0.154 0.537
0.091 0.553 0.802
0.554 0.091 0.802
0.909 0.447 0.198
0.553 0.554 0.802
0.446 0.909 0.198
0.000 0.000 0.000
0.500 0.500 0.500



[5]
PBE SrGaBi2Mo, relaxed; DFT formation energy = 0.94 eV per atom; symmetry = P4/mmm (123)
1.0
-3.784 0.959 3.940
-4.105 -1.101 -3.674
0.145 -5.354 1.442
Sr Ga Bi Mo
1 1 2 1
Direct
0.000 0.500 0.000
0.000 0.000 0.000
0.000 0.000 0.500
0.500 0.000 0.000
0.500 0.500 0.500



[6]
PBE CeNd2Dy9, relaxed; DFT formation energy = 0.03 eV per atom; symmetry = P4/mmm (123)
1.0
5.038 0.000 0.000
0.000 5.038 0.000
0.000 0.000 15.113
Dy Nd Ce
9 2 1
Direct
0.000 0.500 0.500
0.000 0.500 0.837
0.500 0.000 0.163
0.500 0.000 0.500
0.500 0.000 0.837
0.500 0.500 0.333
0.500 0.500 0.667
0.500 0.500 0.000
0.000 0.500 0.163
0.000 0.000 0.332
0.000 0.000 0.668
0.000 0.000 0.000



[7]
PBE Al2CdFe, relaxed; DFT formation energy = 0.08 eV per atom; symmetry = C2/m (12)
1.0
-1.815 0.061 -4.359
0.250 -2.039 -4.251
-3.517 -3.448 0.186
Al Cd Fe
2 1 1
Direct
0.978 0.978 0.041
0.522 0.522 0.459
0.750 0.750 0.750
0.250 0.250 0.250



[8]
PBE Nd12Dy6Cd, relaxed; energy relative to the lowest polymorph listed for this composition = 0.0000 eV per atom; DFT formation energy = 0.09 eV per atom; symmetry = R-3 (148)
1.0
8.571 0.707 0.847
-0.601 8.579 0.847
-0.601 -0.700 8.592
Dy Nd Cd
6 12 1
Direct
0.100 0.717 0.258
0.717 0.258 0.100
0.258 0.100 0.717
0.900 0.283 0.742
0.283 0.742 0.900
0.742 0.900 0.283
0.365 0.018 0.177
0.432 0.786 0.537
0.177 0.365 0.018
0.463 0.568 0.214
0.568 0.214 0.463
0.537 0.432 0.786
0.018 0.177 0.365
0.635 0.982 0.823
0.823 0.635 0.982
0.982 0.823 0.635
0.214 0.463 0.568
0.786 0.537 0.432
0.000 0.000 0.000



[9]
PBE LiNbPd6, relaxed; energy relative to the lowest polymorph listed for this composition = 0.3205 eV per atom; DFT formation energy = -0.06 eV per atom; symmetry = C2/m (12)
1.0
4.636 0.667 0.067
1.014 4.573 0.067
1.726 1.601 6.792
Pd Li Nb
6 1 1
Direct
0.360 0.360 0.930
0.640 0.640 0.070
0.057 0.543 0.302
0.457 0.943 0.698
0.543 0.057 0.302
0.943 0.457 0.698
0.500 0.500 0.500
0.000 0.000 0.000



[10]
PBE TlSnAu4, relaxed; energy relative to the lowest polymorph listed for this composition = 0.0000 eV per atom; DFT formation energy = -0.03 eV per atom; symmetry = C2/m (12)
1.0
-6.374 2.962 1.394
0.353 -2.577 7.091
5.342 3.618 -1.675
Au Sn Tl
8 2 2
Direct
0.200 0.000 0.000
0.313 0.455 0.228
0.248 0.263 0.495
0.085 0.545 0.772
0.915 0.455 0.228
0.687 0.545 0.772
0.752 0.737 0.505
0.800 0.000 0.000
0.480 0.229 0.961
0.520 0.771 0.039
0.187 0.833 0.374
0.813 0.167 0.626



[11]
PBE TbGdSc2, relaxed; energy relative to the lowest polymorph listed for this composition = 0.0000 eV per atom; DFT formation energy = 0.05 eV per atom; symmetry = P4/mmm (123)
1.0
4.643 0.000 0.000
0.000 4.911 0.000
0.000 0.000 4.911
Sc Gd Tb
2 1 1
Direct
0.000 0.500 0.000
0.000 0.000 0.500
0.500 0.000 0.000
0.500 0.500 0.500



[12]
PBE NaCu3P3, relaxed; DFT formation energy = 0.03 eV per atom; symmetry = Pm-3n (223)
1.0
6.413 0.000 0.000
0.000 6.413 0.000
0.000 0.000 6.413
Cu P Na
6 6 2
Direct
0.000 0.250 0.500
0.750 0.500 0.000
0.250 0.500 0.000
0.500 0.000 0.250
0.500 0.000 0.750
0.000 0.750 0.500
0.750 0.000 0.500
0.000 0.500 0.750
0.000 0.500 0.250
0.500 0.250 0.000
0.250 0.000 0.500
0.500 0.750 0.000
0.000 0.000 0.000
0.500 0.500 0.500



no.,total energy (eV/atom)
1,-2.032
2,-4.130
3,-4.606
4,-4.267
5,-3.725
6,-4.706
7,-4.139
8,-4.419
9,-5.449
10,-3.281
11,-7.794
12,-4.234